Entry 1:
Entry from Alexandria: a relaxed structure of Pm3SiNi2 (GGA-PBE).

size of the total moment	0.000	μB/atom
ΔE_f (raw)	-2.269	eV/f.u.
polymorph energy (0 for the lowest one)	49	meV per atom
density of states at the Fermi level	1.026	states/eV/atom
uncorrected energy	-5.584	eV/atom

Structure (POSCAR):
```
Pm3SiNi2
1.0
6.669 -0.319 -0.249
1.854 6.414 -0.249
1.854 1.326 6.280
Pm Si Ni
6 2 4
Direct
0.428 0.072 0.750
0.072 0.750 0.428
0.750 0.428 0.072
0.572 0.928 0.250
0.928 0.250 0.572
0.250 0.572 0.928
0.500 0.500 0.500
0.000 0.000 0.000
0.337 0.337 0.337
0.163 0.163 0.163
0.837 0.837 0.837
0.663 0.663 0.663
```

---

Entry 2:
Entry from Alexandria: a relaxed structure of Pm2Si4Ni5 (GGA-PBE).

size of the total moment	0.000	μB/atom
ΔE_f (raw)	-7.517	eV/f.u.
density of states at the Fermi level	0.761	states/eV/atom
uncorrected energy	-6.147	eV/atom

Structure (POSCAR):
```
Pm2Si4Ni5
1.0
5.471 0.000 0.000
2.735 4.737 0.000
2.735 0.000 6.550
Pm Si Ni
2 4 5
Direct
0.860 0.000 0.279
0.140 0.000 0.721
0.483 0.299 0.735
0.517 0.701 0.265
0.218 0.299 0.265
0.782 0.701 0.735
0.500 0.000 0.000
0.000 0.500 0.000
0.500 0.500 0.000
0.250 0.500 0.500
0.750 0.500 0.500
```

---

Entry 3:
Entry from Alexandria: a relaxed structure of Pm5SiNi2 (GGA-PBE).

size of the total moment	0.000	μB/atom
ΔE_f (raw)	-2.786	eV/f.u.
density of states at the Fermi level	0.872	states/eV/atom
uncorrected energy	-5.441	eV/atom

Structure (POSCAR):
```
Pm5SiNi2
1.0
7.028 0.000 -3.318
-1.566 6.851 -3.318
-0.267 -0.335 8.537
Pm Si Ni
10 2 4
Direct
0.520 0.695 0.715
0.805 0.980 0.285
0.000 0.000 0.000
0.500 0.500 0.000
0.195 0.020 0.715
0.695 0.195 0.715
0.020 0.520 0.715
0.305 0.805 0.285
0.980 0.480 0.285
0.480 0.305 0.285
0.750 0.750 0.500
0.250 0.250 0.500
0.123 0.377 0.000
0.623 0.123 0.000
0.377 0.877 0.000
0.877 0.623 0.000
```

---

> Which value of uncorrected energy does entry 2 give?

-6.147 eV/atom